Below is a geometry-optimized Hf2Ga2AgAu structure, with properties calculated at the PBE level.

As for the crystal system: monoclinic. Its magnetic moment is 0.000 μB per atom.

Geometry as POSCAR:
```
Hf2Ga2AgAu
1.0
7.669 0.000 0.000
0.000 4.427 0.000
-2.553 0.000 14.461
Hf Ga Ag Au
8 8 4 4
Cartesian
1.290 2.213 11.757 Hf
5.106 0.000 0.902 Hf
2.557 0.000 4.516 Hf
1.286 2.213 0.909 Hf
5.106 0.000 11.743 Hf
3.839 2.213 8.140 Hf
6.393 2.213 4.516 Hf
0.000 0.000 8.132 Hf
3.836 2.213 2.712 Ga
1.279 2.213 6.349 Ga
-1.257 2.213 9.934 Ga
2.539 0.000 9.927 Ga
3.857 2.213 13.569 Ga
0.000 0.000 2.693 Ga
-0.016 0.000 13.543 Ga
5.114 0.000 6.347 Ga
2.558 0.000 7.231 Ag
-1.276 2.213 7.229 Ag
0.000 0.000 0.000 Ag
0.003 0.000 10.847 Ag
3.836 2.213 10.844 Au
1.280 2.213 3.615 Au
3.835 2.213 0.003 Au
5.113 0.000 3.613 Au
```


Below is a geometry-optimized GdMgZnN2 structure, with properties calculated at the PBE level.

As for the crystal system: trigonal. Its magnetic moment is 0.001 μB per atom.

Geometry as POSCAR:
```
GdMgZnN2
1.0
3.474 0.000 0.000
-1.737 3.009 0.000
0.000 0.000 6.217
Mg N Gd Zn
1 2 1 1
Cartesian
1.737 1.003 0.807 Mg
1.737 1.003 4.827 N
0.000 2.006 1.521 N
0.000 0.000 3.107 Gd
0.000 2.006 5.280 Zn
```


Below is a geometry-optimized PrSe2 structure, with properties calculated at the PBE level.

As for the crystal system: tetragonal. Its magnetic moment is 0.000 μB per atom.

Geometry as POSCAR:
```
PrSe2
1.0
-1.471 6.773 4.727
2.920 -4.065 6.733
7.932 2.901 -1.688
Se Pr
16 8
Cartesian
7.234 5.571 5.435 Se
7.979 2.171 3.095 Se
6.520 4.202 -0.272 Se
4.960 3.710 7.708 Se
4.690 2.804 4.886 Se
4.421 1.899 2.063 Se
0.311 6.129 6.178 Se
2.501 0.734 7.198 Se
1.047 2.742 3.816 Se
3.231 4.837 1.519 Se
3.237 -2.653 4.835 Se
5.426 -0.582 2.522 Se
8.694 3.539 8.802 Se
3.562 5.457 4.142 Se
3.966 1.450 -0.844 Se
5.818 0.152 5.629 Se
1.446 2.312 0.848 Pr
3.584 1.706 9.849 Pr
8.322 -0.755 3.784 Pr
2.904 0.290 4.222 Pr
2.127 3.728 6.476 Pr
6.149 4.561 2.709 Pr
5.409 7.954 5.062 Pr
7.582 2.638 6.137 Pr
```


Below is a geometry-optimized Pr3AlCoS7 structure, with properties calculated at the PBE level.

As for the crystal system: hexagonal. Its magnetic moment is 0.083 μB per atom.

Geometry as POSCAR:
```
Pr3AlCoS7
1.0
9.923 0.000 0.000
-4.961 8.593 0.000
0.000 0.000 6.169
S Al Co Pr
14 2 2 6
Cartesian
-1.912 4.921 3.136 S
4.705 0.805 0.052 S
3.450 7.500 5.005 S
-0.191 1.855 5.005 S
0.257 7.788 3.136 S
4.961 2.864 3.161 S
3.306 4.117 0.052 S
1.511 1.093 1.920 S
1.655 4.476 3.136 S
5.153 6.738 1.920 S
-3.259 7.831 5.005 S
6.874 3.672 0.052 S
0.000 5.729 0.076 S
8.220 0.762 1.920 S
0.000 5.729 4.018 Al
4.961 2.864 0.934 Al
0.000 0.000 3.437 Co
0.000 0.000 0.352 Co
-2.006 7.296 1.406 Pr
6.968 1.297 4.491 Pr
2.361 6.683 1.406 Pr
5.315 5.386 4.491 Pr
-0.354 3.207 1.406 Pr
2.601 1.910 4.491 Pr
```


Below is a geometry-optimized NdGe2IrPd structure, with properties calculated at the PBE level.

As for the crystal system: tetragonal. Its magnetic moment is 0.000 μB per atom.

Geometry as POSCAR:
```
NdGe2IrPd
1.0
4.254 0.000 0.000
0.000 4.254 0.000
0.000 0.000 10.438
Ge Nd Ir Pd
4 2 2 2
Cartesian
0.000 2.127 9.106 Ge
0.000 0.000 5.219 Ge
2.127 2.127 5.219 Ge
2.127 0.000 1.331 Ge
0.000 2.127 2.607 Nd
2.127 0.000 7.831 Nd
2.127 2.127 0.000 Ir
0.000 0.000 0.000 Ir
0.000 2.127 6.625 Pd
2.127 0.000 3.812 Pd
```


Below is a geometry-optimized Pm3WN structure, with properties calculated at the PBE level.

As for the crystal system: cubic. Its magnetic moment is 0.154 μB per atom.

Geometry as POSCAR:
```
Pm3WN
1.0
-2.450 -0.974 -4.104
0.870 -4.761 0.611
-4.127 -0.425 2.565
W N Pm
1 1 3
Cartesian
-2.854 -3.080 -0.465 W
0.000 0.000 0.000 N
-2.064 -0.213 1.282 Pm
0.435 -2.380 0.305 Pm
-1.225 -0.487 -2.052 Pm
```


Below is a geometry-optimized KNaNbOF5 structure, with properties calculated at the PBE level.

As for the crystal system: orthorhombic. Its magnetic moment is 0.001 μB per atom.

Geometry as POSCAR:
```
KNaNbOF5
1.0
6.273 0.000 0.000
0.000 10.544 0.000
0.000 0.000 8.073
F Nb O Na K
20 4 4 4 4
Cartesian
1.106 4.389 6.054 F
1.601 6.180 8.002 F
5.167 9.661 6.054 F
4.672 4.364 0.071 F
2.382 7.694 2.018 F
1.106 0.883 2.018 F
3.493 9.901 2.018 F
3.891 2.850 6.054 F
4.672 0.908 4.107 F
4.672 0.908 8.002 F
2.382 8.122 6.054 F
3.493 5.915 6.054 F
5.167 6.155 2.018 F
1.601 6.180 4.107 F
3.891 2.422 2.018 F
2.780 0.643 6.054 F
2.780 4.629 2.018 F
4.672 4.364 3.965 F
1.601 9.636 0.071 F
1.601 9.636 3.965 F
1.487 9.459 2.018 Nb
4.786 4.187 2.018 Nb
1.487 6.357 6.054 Nb
4.786 1.085 6.054 Nb
6.082 6.969 6.054 O
6.082 8.847 2.018 O
0.191 3.575 2.018 O
0.191 1.697 6.054 O
1.118 9.891 6.054 Na
1.118 5.925 2.018 Na
5.155 0.653 2.018 Na
5.155 4.619 6.054 Na
1.942 2.636 0.000 K
4.331 7.908 0.000 K
1.942 2.636 4.036 K
4.331 7.908 4.036 K
```


Below is a geometry-optimized Pr3Nb3Mo2N12 structure, with properties calculated at the PBE level.

As for the crystal system: cubic. Its magnetic moment is 0.000 μB per atom.

Geometry as POSCAR:
```
Pr3Nb3Mo2N12
1.0
-6.526 6.526 6.526
6.526 -6.526 6.526
6.526 6.526 -6.526
N Mo Nb Pr
48 8 12 12
Cartesian
3.672 7.896 -2.615 N
6.118 0.648 4.633 N
5.157 3.912 2.855 N
-1.893 6.118 5.878 N
6.935 5.878 4.633 N
-0.648 1.893 6.118 N
0.409 0.648 8.420 N
7.896 2.615 2.855 N
8.420 0.409 0.648 N
1.893 6.118 -0.648 N
4.633 0.409 7.175 N
3.912 2.855 5.157 N
1.893 0.409 5.878 N
5.878 1.893 0.409 N
1.370 2.615 3.672 N
7.896 -2.615 3.672 N
0.648 4.633 6.118 N
7.896 3.912 -3.672 N
6.118 -0.648 1.893 N
4.633 6.118 0.648 N
2.615 3.672 1.370 N
2.855 7.896 2.615 N
4.633 6.935 5.878 N
10.198 -1.370 2.615 N
3.912 -3.672 7.896 N
6.118 5.878 -1.893 N
2.855 -1.370 9.141 N
1.893 -0.409 0.648 N
0.648 1.893 -0.409 N
3.672 1.370 2.615 N
0.409 5.878 1.893 N
-1.370 3.912 3.672 N
-1.370 9.141 2.855 N
-1.370 2.615 10.198 N
9.141 2.855 -1.370 N
2.615 10.198 -1.370 N
7.175 4.633 0.409 N
2.855 5.157 3.912 N
-3.672 7.896 3.912 N
-2.615 3.672 7.896 N
-0.409 0.648 1.893 N
5.878 -1.893 6.118 N
0.648 8.420 0.409 N
3.672 -1.370 3.912 N
2.615 2.855 7.896 N
0.409 7.175 4.633 N
3.912 3.672 -1.370 N
5.878 4.633 6.935 N
0.000 6.526 0.000 Mo
3.263 3.263 -3.263 Mo
0.000 0.000 0.000 Mo
-3.263 3.263 3.263 Mo
0.000 0.000 6.526 Mo
3.263 3.263 3.263 Mo
3.263 -3.263 3.263 Mo
6.526 0.000 0.000 Mo
9.790 1.632 0.000 Nb
0.000 9.790 1.632 Nb
3.263 1.632 6.526 Nb
3.263 4.895 0.000 Nb
0.000 3.263 4.895 Nb
4.895 0.000 3.263 Nb
6.526 -3.263 4.895 Nb
6.526 3.263 1.632 Nb
4.895 6.526 -3.263 Nb
1.632 6.526 3.263 Nb
-3.263 4.895 6.526 Nb
1.632 0.000 9.790 Nb
6.526 3.263 -1.632 Pr
3.263 1.632 0.000 Pr
3.263 4.895 6.526 Pr
8.158 0.000 3.263 Pr
6.526 3.263 4.895 Pr
3.263 8.158 0.000 Pr
0.000 3.263 8.158 Pr
1.632 0.000 3.263 Pr
3.263 -1.632 6.526 Pr
4.895 6.526 3.263 Pr
-1.632 6.526 3.263 Pr
0.000 3.263 1.632 Pr
```


Below is a geometry-optimized ZrGaAg2Te4 structure, with properties calculated at the PBE level.

As for the crystal system: tetragonal. Its magnetic moment is 0.018 μB per atom.

Geometry as POSCAR:
```
ZrGaAg2Te4
1.0
-3.202 2.993 6.556
-7.525 -2.319 0.432
6.650 -4.077 -1.158
Te Ag Ga Zr
4 2 1 1
Cartesian
3.693 -2.471 2.953 Te
-5.075 -1.101 1.121 Te
-0.720 -1.828 2.025 Te
-6.052 -1.406 5.560 Te
0.000 0.000 0.000 Ag
-0.958 -0.374 4.446 Ag
-3.119 -3.030 1.384 Ga
-5.364 0.337 3.494 Zr
```


Below is a geometry-optimized Au3F8 structure, with properties calculated at the PBE level.

As for the crystal system: monoclinic.

Geometry as POSCAR:
```
Au3F8
1.0
4.946 0.000 0.053
0.000 10.624 0.000
0.001 0.000 5.532
Au F
6 16
Cartesian
3.374 3.412 0.273 Au
0.902 1.900 3.013 Au
1.573 7.212 5.312 Au
0.001 5.312 2.766 Au
4.046 8.725 2.573 Au
2.473 0.000 0.027 Au
1.665 6.332 3.519 F
1.325 5.485 0.659 F
3.282 4.293 2.066 F
3.288 1.649 1.201 F
3.799 10.452 3.451 F
4.077 7.747 4.269 F
1.603 8.190 1.477 F
1.149 0.173 2.134 F
4.138 9.605 0.780 F
3.623 5.139 4.927 F
4.132 6.961 1.645 F
0.816 3.664 3.941 F
0.810 1.019 4.805 F
3.345 2.434 4.109 F
0.871 2.878 1.316 F
1.659 8.976 4.384 F
```


Below is a geometry-optimized BOs2Pd structure, with properties calculated at the PBE level.

As for the crystal system: cubic. Its magnetic moment is 0.096 μB per atom.

Geometry as POSCAR:
```
BOs2Pd
1.0
-2.730 -2.017 -2.512
-3.937 1.461 -0.443
-1.204 1.753 -3.648
Os B Pd
2 1 1
Cartesian
-5.904 0.897 -4.952 Os
0.000 0.000 0.000 Os
-3.936 0.598 -3.301 B
-1.968 0.299 -1.651 Pd
```


Below is a geometry-optimized TmPSe3S structure, with properties calculated at the PBE level.

As for the crystal system: triclinic. Its magnetic moment is 0.000 μB per atom.

Geometry as POSCAR:
```
TmPSe3S
1.0
-1.733 2.825 -5.770
-4.933 -4.346 -1.983
-5.594 4.397 3.466
S Se P Tm
2 6 2 2
Cartesian
-2.484 0.143 -2.617 S
-9.776 2.732 -1.671 S
-7.490 -0.898 -6.264 Se
-6.943 1.260 1.149 Se
-5.808 3.544 -1.586 Se
-4.770 3.773 1.977 Se
-5.317 1.615 -5.437 Se
-6.452 -0.669 -2.701 Se
-5.848 -0.471 -4.792 P
-6.412 3.347 0.505 P
-8.151 5.071 -1.887 Tm
-4.109 -2.196 -2.401 Tm
```


Below is a geometry-optimized NdSc2S3 structure, with properties calculated at the PBE level.

As for the crystal system: trigonal. Its magnetic moment is 0.001 μB per atom.

Geometry as POSCAR:
```
NdSc2S3
1.0
-0.620 -3.525 -1.207
-0.195 0.795 3.687
-9.289 1.947 -0.911
Sc S Nd
2 3 1
Cartesian
-3.656 -1.419 0.113 Sc
-6.448 0.636 1.456 Sc
-7.969 -0.515 -0.310 S
-4.644 0.973 -0.456 S
-2.136 -0.268 1.879 S
0.000 0.000 0.000 Nd
```


Below is a geometry-optimized ScInCuMo structure, with properties calculated at the PBE level.

As for the crystal system: cubic. Its magnetic moment is 0.268 μB per atom.

Geometry as POSCAR:
```
ScInCuMo
1.0
-2.100 -2.089 3.592
-4.135 1.535 1.493
-3.826 -2.557 -0.707
In Cu Mo Sc
1 1 1 1
Cartesian
0.000 0.000 0.000 In
-7.546 -2.334 3.284 Cu
-2.515 -0.778 1.095 Mo
-5.031 -1.556 2.189 Sc
```


Below is a geometry-optimized Nd2Sm2CI2Cl3 structure, with properties calculated at the PBE level.

As for the crystal system: monoclinic. Its magnetic moment is 0.012 μB per atom.

Geometry as POSCAR:
```
Nd2Sm2CI2Cl3
1.0
-8.559 -4.188 -1.281
-6.143 -7.304 -1.165
0.394 0.606 8.138
Sm Nd I C Cl
2 2 2 1 3
Cartesian
-5.002 -3.634 6.638 Sm
-9.307 -7.252 -0.946 Sm
0.306 0.473 6.396 Nd
-14.614 -11.359 -0.704 Nd
-12.076 -9.381 -0.435 I
-2.232 -1.505 6.127 I
-7.351 -5.746 -1.223 C
-12.170 -9.311 3.440 Cl
-2.138 -1.575 2.252 Cl
-7.154 -5.443 2.846 Cl
```


Below is a geometry-optimized Cd2Re2O5 structure, with properties calculated at the PBE level.

As for the crystal system: tetragonal. Its magnetic moment is 0.442 μB per atom.

Geometry as POSCAR:
```
Cd2Re2O5
1.0
-8.818 1.261 4.436
-1.556 -0.354 -2.992
-0.221 -3.345 0.511
Re O Cd
2 5 2
Cartesian
0.000 0.000 0.000 Re
-4.409 0.631 2.218 Re
-7.909 -0.557 4.179 O
-1.798 -0.031 -0.983 O
-1.130 -1.527 0.769 O
-8.577 0.938 2.427 O
-5.298 -1.219 0.978 O
-3.263 -1.510 -0.046 Cd
-7.332 -0.928 2.001 Cd
```


Below is a geometry-optimized Nd4IBr4N structure, with properties calculated at the PBE level.

As for the crystal system: monoclinic. Its magnetic moment is 0.001 μB per atom.

Geometry as POSCAR:
```
Nd4IBr4N
1.0
9.078 -1.966 0.000
9.078 1.966 0.000
-2.090 0.000 8.483
Nd Br N I
4 4 1 1
Cartesian
16.688 0.000 5.880 Nd
10.404 0.000 4.844 Nd
5.662 0.000 3.639 Nd
-0.623 0.000 2.603 Nd
14.799 0.000 1.428 Br
1.267 0.000 7.055 Br
13.656 0.000 5.642 Br
2.409 0.000 2.841 Br
8.033 0.000 4.242 N
9.078 0.000 0.000 I
```


| no. | uncorrected energy (eV for the cell shown) |
| --- | --- |
| 1 | -134.38 |
| 2 | -27.10 |
| 3 | -132.99 |
| 4 | -145.43 |
| 5 | -64.11 |
| 6 | -35.76 |
| 7 | -211.13 |
| 8 | -726.13 |
| 9 | -32.28 |
| 10 | -69.24 |
| 11 | -30.42 |
| 12 | -59.39 |
| 13 | -41.23 |
| 14 | -22.65 |
| 15 | -51.42 |
| 16 | -53.99 |
| 17 | -51.25 |